CrPRuO2 | GGA-PBEsol | relaxed

Cell: 3.6556 3.6556 5.1972 Å, 90.00 90.00 90.00°
Closest atoms and distances in Å follow each position.
Atoms (fractional coordinates):
Cr 0.0000 0.0000 0.0000  4 P 2.58
P 0.5000 0.5000 0.0000  4 Cr 2.58, 2 Ru 2.60
Ru 0.5000 0.5000 0.5000  4 O 1.83
O 0.0000 0.5000 0.5000  2 Ru 1.83
O 0.5000 0.0000 0.5000  2 Ru 1.83

Calculated values
Magnetization = 0.748 μB per atom
Formation energy from raw total energies = -0.25 eV per atom
Space group = P4/mmm